(1)
# PuAl2Cu

A relaxed PuAl2Cu crystal (PBE, Alexandria).

Unit cell a=5.1269 b=5.1269 c=2.7744 alpha=90.00 beta=90.00 gamma=90.00
Space group P4/mmm (No. 123)
Symmetry-distinct sites (fractional):
Pu (0.0000, 0.0000, 0.0000) (multiplicity 1)
Al (0.0000, 0.5000, 0.5000) (multiplicity 2)
Cu (0.5000, 0.5000, 0.0000) (multiplicity 1)

Calculated values
Calculated volume, A^3/atom: 18.2
Total DFT energy (no corrections), eV per atom: -6.39
Density of states at the Fermi level, states/eV/cell: 6.6
Formation enthalpy at 0 K, eV per atom: 0.09

***

(2)
# PuAl10Cu2

A relaxed PuAl10Cu2 crystal (PBE, Alexandria).

Unit cell a=5.1992 b=12.3749 c=13.3318 alpha=90.00 beta=90.00 gamma=90.00
Space group Fmmm (No. 69)
Symmetry-distinct sites (fractional):
Pu (0.0000, 0.0000, 0.0000) (multiplicity 4)
Al (0.0000, 0.1070, 0.3847) (multiplicity 16)
Al (0.0000, 0.1716, 0.1786) (multiplicity 16)
Al (0.2500, 0.2500, 0.0000) (multiplicity 8)
Cu (0.2500, 0.0000, 0.2500) (multiplicity 8)

Calculated values
Calculated volume, A^3/atom: 16.5
Total DFT energy (no corrections), eV per atom: -4.78
Density of states at the Fermi level, states/eV/cell: 34.1
Formation enthalpy at 0 K, eV per atom: -0.17

***

(3)
# PuAlCu

A relaxed PuAlCu crystal (PBE, Alexandria).

Unit cell a=2.5900 b=2.5900 c=13.2778 alpha=90.00 beta=90.00 gamma=90.00
Space group I4mm (No. 107)
Symmetry-distinct sites (fractional):
Pu (0.0000, 0.0000, 0.0000) (multiplicity 2)
Al (0.0000, 0.0000, 0.3172) (multiplicity 2)
Cu (0.0000, 0.0000, 0.6811) (multiplicity 2)

Calculated values
Calculated volume, A^3/atom: 14.8
Total DFT energy (no corrections), eV per atom: -7.29
Density of states at the Fermi level, states/eV/cell: 8.1
Formation enthalpy at 0 K, eV per atom: 0.10

***

(4)
# PuAl9Cu2

A relaxed PuAl9Cu2 crystal (PBE, Alexandria).

Unit cell a=10.6513 b=10.6513 c=7.0349 alpha=90.00 beta=90.00 gamma=90.00
Space group I4_1/amd (No. 141, origin choice 2)
Symmetry-distinct sites (fractional):
Pu (0.0000, 0.2500, 0.3750) (multiplicity 4)
Al (0.0000, 0.2500, 0.8750) (multiplicity 4)
Al (0.1225, 0.0500, 0.6803) (multiplicity 32)
Cu (0.0000, 0.0000, 0.0000) (multiplicity 8)

Calculated values
Calculated volume, A^3/atom: 16.6
Total DFT energy (no corrections), eV per atom: -4.84
Density of states at the Fermi level, states/eV/cell: 37.5
Formation enthalpy at 0 K, eV per atom: -0.15

***

(5)
# PuAlCu2

A relaxed PuAlCu2 crystal (PBE, Alexandria).

Unit cell a=2.5995 b=2.5995 c=8.3659 alpha=90.00 beta=90.00 gamma=90.00
Space group P4/mmm (No. 123)
Symmetry-distinct sites (fractional):
Pu (0.0000, 0.0000, 0.0000) (multiplicity 1)
Al (0.0000, 0.0000, 0.5000) (multiplicity 1)
Cu (0.5000, 0.5000, 0.2861) (multiplicity 2)

Calculated values
Calculated volume, A^3/atom: 14.1
Total DFT energy (no corrections), eV per atom: -6.45
Density of states at the Fermi level, states/eV/cell: 5.0
Formation enthalpy at 0 K, eV per atom: 0.12

***

(6)
# PuAl4Cu2Rh

A relaxed PuAl4Cu2Rh crystal (PBE, Alexandria).

Unit cell a=4.1856 b=4.1856 c=26.5641 alpha=90.00 beta=90.00 gamma=120.00
Space group R-3m (No. 166, hexagonal axes)
Symmetry-distinct sites (fractional):
Pu (0.0000, 0.0000, 0.0000) (multiplicity 3)
Al (0.0000, 0.0000, 0.1316) (multiplicity 6)
Al (0.0000, 0.0000, 0.4045) (multiplicity 6)
Cu (0.0000, 0.0000, 0.2358) (multiplicity 6)
Rh (0.0000, 0.0000, 0.5000) (multiplicity 3)

Calculated values
Calculated volume, A^3/atom: 16.8
Total DFT energy (no corrections), eV per atom: -5.96
Density of states at the Fermi level, states/eV/cell: 33.7
Formation enthalpy at 0 K, eV per atom: -0.36

***

(7)
# Pu2AlCuS5

A relaxed Pu2AlCuS5 crystal (PBE, Alexandria).

Unit cell a=3.7372 b=16.2411 c=11.3152 alpha=90.00 beta=90.00 gamma=90.00
Space group Cmc2_1 (No. 36)
Symmetry-distinct sites (fractional):
Pu (0.0000, 0.1095, 0.0000) (multiplicity 4)
Pu (0.0000, 0.1290, 0.6117) (multiplicity 4)
Al (0.0000, 0.2017, 0.3216) (multiplicity 4)
Cu (0.0000, 0.4552, 0.7574) (multiplicity 4)
S (0.0000, 0.0578, 0.3643) (multiplicity 4)
S (0.0000, 0.2834, 0.9675) (multiplicity 4)
S (0.0000, 0.3044, 0.6721) (multiplicity 4)
S (0.0000, 0.3487, 0.3097) (multiplicity 4)
S (0.0000, 0.4945, 0.0780) (multiplicity 4)

Calculated values
Calculated volume, A^3/atom: 19.1
Energy relative to the elements, uncorrected, eV/atom: -1.167
Total DFT energy (no corrections), eV per atom: -7.52
Density of states at the Fermi level, states/eV/cell: 88.7

***

(8)
# PuAl2Cu2Si2

A relaxed PuAl2Cu2Si2 crystal (PBE, Alexandria).

Unit cell a=4.1966 b=4.1966 c=22.3457 alpha=90.00 beta=90.00 gamma=120.00
Space group R-3m (No. 166, hexagonal axes)
Symmetry-distinct sites (fractional):
Pu (0.0000, 0.0000, 0.0000) (multiplicity 3)
Al (0.0000, 0.0000, 0.1356) (multiplicity 6)
Cu (0.0000, 0.0000, 0.4286) (multiplicity 6)
Si (0.0000, 0.0000, 0.2532) (multiplicity 6)

Calculated values
Calculated volume, A^3/atom: 16.2
Energy relative to the elements, uncorrected, eV/atom: -0.213
Total DFT energy (no corrections), eV per atom: -6.05
Density of states at the Fermi level, states/eV/cell: 30.6